Entry 1:
Here is a geometry-optimized CsRb2MnI6 structure from the Alexandria database. Energies are from PBE.

Output
- Formation energy (no corrections): -940 meV/atom
- Space-group type: I4/mmm
- Theoretical density: 3.6 Mg/m³
- Spin magnetization: 4.0 Bohr magnetons per cell

Cell lengths 9.001, 9.001, 8.997 Å; angles 59.99, 59.99, 90.00 degrees
Each line ends with the local moment (μB).
Fractional positions:
Cs (0.000, 0.000, 0.000)  -0.01
I (0.281, 0.281, 0.438)  -0.02
I (0.719, 0.719, 0.562)  -0.02
I (0.281, 0.281, 0.000)  -0.01
I (0.719, 0.719, 0.000)  -0.01
I (0.719, 0.281, 0.000)  -0.01
I (0.281, 0.719, 0.000)  -0.01
Mn (0.500, 0.500, 0.000)  3.81
Rb (0.750, 0.250, 0.500)  0.00
Rb (0.250, 0.750, 0.500)  0.00

=====

Entry 2:
Here is a geometry-optimized Cs3RbMn2I8 structure from the Alexandria database. Energies are from PBE.

Output
- Formation energy (no corrections): -1062 meV/atom
- Space-group type: P-3m1
- Theoretical density: 3.5 Mg/m³
- Spin magnetization: 10.0 Bohr magnetons per cell

Cell lengths 9.002, 9.002, 10.889 Å; angles 90.00, 90.00, 120.00 degrees
Each line ends with the local moment (μB).
Fractional positions:
Cs (0.333, 0.667, 0.610)  0.00
Cs (0.667, 0.333, 0.390)  0.00
Cs (0.000, 0.000, 0.000)  0.00
Rb (0.000, 0.000, 0.500)  0.01
Mn (0.333, 0.667, 0.195)  4.27
Mn (0.667, 0.333, 0.805)  4.27
I (0.333, 0.667, 0.954)  0.05
I (0.667, 0.333, 0.046)  0.05
I (0.174, 0.826, 0.296)  0.04
I (0.826, 0.174, 0.704)  0.04
I (0.174, 0.349, 0.296)  0.04
I (0.826, 0.651, 0.704)  0.04
I (0.651, 0.826, 0.296)  0.04
I (0.349, 0.174, 0.704)  0.04

=====

Entry 3:
Here is a geometry-optimized CsRbMn2I6 structure from the Alexandria database. Energies are from PBE.

Output
- Formation energy (no corrections): -877 meV/atom
- Space-group type: C2/c
- Theoretical density: 3.5 Mg/m³
- Spin magnetization: 20.0 Bohr magnetons per cell

Cell lengths 11.238, 11.238, 8.484 Å; angles 100.17, 100.17, 87.32 degrees
Each line ends with the local moment (μB).
Fractional positions:
Cs (0.176, 0.824, 0.250)  0.00
Cs (0.824, 0.176, 0.750)  0.00
Rb (0.603, 0.397, 0.250)  0.00
Rb (0.397, 0.603, 0.750)  0.00
Mn (0.299, 0.128, 0.753)  4.30
Mn (0.872, 0.701, 0.747)  4.30
Mn (0.701, 0.872, 0.247)  4.30
Mn (0.128, 0.299, 0.253)  4.30
I (0.909, 0.387, 0.163)  0.06
I (0.613, 0.091, 0.337)  0.06
I (0.091, 0.613, 0.837)  0.06
I (0.387, 0.909, 0.663)  0.06
I (0.176, 0.113, 0.007)  0.06
I (0.887, 0.824, 0.493)  0.06
I (0.824, 0.887, 0.993)  0.06
I (0.113, 0.176, 0.507)  0.06
I (0.290, 0.474, 0.321)  0.05
I (0.526, 0.710, 0.179)  0.05
I (0.710, 0.526, 0.679)  0.05
I (0.474, 0.290, 0.821)  0.05

=====

Entry 4:
Here is a geometry-optimized CsMn2RuI structure from the Alexandria database. Energies are from PBE.

Output
- Formation energy (no corrections): 805 meV/atom
- Space-group type: P4/mmm
- Theoretical density: 4.7 Mg/m³
- Energy relative to the lowest polymorph listed for this composition: 196 meV per atom
- Spin magnetization: 8.9 Bohr magnetons per cell

Cell lengths 4.993, 6.625, 4.993 Å; angles 90.00, 90.00, 90.00 degrees
Each line ends with the local moment (μB).
Fractional positions:
Cs (0.000, 0.500, 0.000)  -0.01
I (0.500, 0.500, 0.500)  0.07
Mn (0.000, 0.000, 0.500)  4.01
Mn (0.500, 0.000, 0.000)  4.28
Ru (0.000, 0.000, 0.000)  -0.35